Compound: ReTe2
Source: the Open Quantum Materials Database
Functional: PBE-GGA
Structure: optimized geometry

For the total energy, the calculation gives -6.053 eV/atom.

The space group is P6_3/mmc (No. 194) and the conventional cell measures 3.6956, 3.6956 and 13.7163 Å, with angles of 90.00, 90.00 and 120.00 degrees. Symmetry generates all atoms from Re at (0.3333, 0.6667, 0.2500) and Te at (0.3333, 0.6667, 0.6288).

***

Compound: AcTaSb
Source: the Open Quantum Materials Database
Functional: PBE-GGA
Structure: optimized geometry

For the total energy, the calculation gives -5.556 eV/atom.

The space group is F-43m (No. 216) and the conventional cell measures 7.599, 7.599 and 7.599 Å, with angles of 90.00, 90.00 and 90.00 degrees. Symmetry generates all atoms from Ac at (0.000, 0.000, 0.000), Ta at (0.250, 0.250, 0.250) and Sb at (0.250, 0.250, 0.750).

***

Compound: NaMoAuSeS2
Source: the Open Quantum Materials Database
Functional: PBE-GGA
Structure: optimized geometry

For the total energy, the calculation gives -4.887 eV/atom.

The space group is Cmcm (No. 63) and the conventional cell measures 3.661, 14.208 and 9.998 Å, with angles of 90.00, 90.00 and 90.00 degrees. Symmetry generates all atoms from Na at (0.000, 0.237, 0.250), Mo at (0.000, 0.500, 0.000), Au at (0.000, 0.094, 0.750), Se at (0.000, 0.430, 0.750) and S at (0.000, 0.119, 0.518).

***

Compound: Li4GaSnIr2
Source: the Open Quantum Materials Database
Functional: PBE-GGA
Structure: optimized geometry

For the total energy, the calculation gives -4.461 eV/atom.

The space group is P-4m2 (No. 115) and the conventional cell measures 4.313, 4.313 and 6.155 Å, with angles of 90.00, 90.00 and 90.00 degrees. Symmetry generates all atoms from Li at (0.000, 0.000, 0.000), Li at (0.000, 0.500, 0.731), Li at (0.500, 0.500, 0.500), Ga at (0.000, 0.000, 0.500), Sn at (0.500, 0.500, 0.000) and Ir at (0.000, 0.500, 0.264).

***

Compound: YAlFeHg
Source: the Open Quantum Materials Database
Functional: PBE-GGA
Structure: optimized geometry

For the total energy, the calculation gives -4.704 eV/atom.

The space group is F-43m (No. 216) and the conventional cell measures 6.811, 6.811 and 6.811 Å, with angles of 90.00, 90.00 and 90.00 degrees. Symmetry generates all atoms from Y at (0.000, 0.000, 0.000), Al at (0.250, 0.250, 0.250), Fe at (0.000, 0.000, 0.500) and Hg at (0.250, 0.250, 0.750).

***

Compound: Li2TmNiP2
Source: the Open Quantum Materials Database
Functional: PBE-GGA
Structure: optimized geometry

For the total energy, the calculation gives -4.841 eV/atom.

The space group is P-3m1 (No. 164) and the conventional cell measures 3.9744, 3.9744 and 6.2254 Å, with angles of 90.00, 90.00 and 120.00 degrees. Symmetry generates all atoms from Li at (0.3333, 0.6667, 0.3502), Tm at (0.0000, 0.0000, 0.0000), Ni at (0.0000, 0.0000, 0.5000) and P at (0.3333, 0.6667, 0.7376).

***

Compound: LaFeSe2
Source: the Open Quantum Materials Database
Functional: PBE-GGA
Structure: optimized geometry

For the total energy, the calculation gives -6.241 eV/atom.

The space group is P2_1/c (No. 14) and the conventional cell measures 6.866, 7.644 and 7.207 Å, with angles of 90.00, 97.39 and 90.00 degrees. Symmetry generates all atoms from La at (0.194, 0.050, 0.301), Fe at (0.430, 0.636, 0.444), Se at (0.092, 0.724, 0.501) and Se at (0.411, 0.120, 0.719).

***

Compound: Cu2BPd
Source: the Open Quantum Materials Database
Functional: PBE-GGA
Structure: optimized geometry

For the total energy, the calculation gives -4.473 eV/atom.

The space group is F-43m (No. 216) and the conventional cell measures 5.668, 5.668 and 5.668 Å, with angles of 90.00, 90.00 and 90.00 degrees. Symmetry generates all atoms from Cu at (0.000, 0.000, 0.000), Cu at (0.250, 0.250, 0.250), B at (0.250, 0.250, 0.750) and Pd at (0.000, 0.000, 0.500).

***

Compound: TbGd2Ni2B2As3
Source: the Open Quantum Materials Database
Functional: PBE-GGA
Structure: optimized geometry

For the total energy, the calculation gives -6.042 eV/atom.

The space group is I4/mmm (No. 139) and the conventional cell measures 4.041, 4.041 and 21.892 Å, with angles of 90.00, 90.00 and 90.00 degrees. Symmetry generates all atoms from Tb at (0.000, 0.000, 0.000), Gd at (0.000, 0.000, 0.358), Ni at (0.000, 0.500, 0.250), B at (0.000, 0.000, 0.224), As at (0.000, 0.000, 0.129) and As at (0.000, 0.000, 0.500).

***

Compound: K2In4PdPt
Source: the Open Quantum Materials Database
Functional: PBE-GGA
Structure: optimized geometry

For the total energy, the calculation gives -3.370 eV/atom.

The space group is Amm2 (No. 38) and the conventional cell measures 8.054, 4.542 and 11.633 Å, with angles of 90.00, 90.00 and 90.00 degrees. Symmetry generates all atoms from K at (0.000, 0.000, 0.000), K at (0.500, 0.000, 0.110), In at (0.196, 0.000, 0.715), In at (0.305, 0.000, 0.393), Pd at (0.000, 0.000, 0.273) and Pt at (0.500, 0.000, 0.836).